w.
Nd3DyTh2: optimized geometry, GGA-PBE. Values from VASP.

The structure in Quantum ESPRESSO input format:
```
&SYSTEM
  ibrav = 0, nat = 6, ntyp = 3
/
ATOMIC_SPECIES
Nd 144.24 Nd.upf
Dy 162.50 Dy.upf
Th 232.04 Th.upf
ATOMIC_POSITIONS crystal
Nd 0.0000 0.0000 0.0000
Nd 0.1689 0.8311 0.5000
Nd 0.8311 0.1689 0.5000
Dy 0.5000 0.5000 0.5000
Th 0.3323 0.6677 0.0000
Th 0.6677 0.3323 0.0000
CELL_PARAMETERS angstrom
2.5579 -7.6430 0.0000
2.5579 7.6430 0.0000
0.0000 0.0000 5.1516
```

Properties
Total magnetization: 0.0 μB per formula unit

x.
Nd3DyTh2: optimized geometry, GGA-PBE. Values from VASP.

The structure in Quantum ESPRESSO input format:
```
&SYSTEM
  ibrav = 0, nat = 12, ntyp = 3
/
ATOMIC_SPECIES
Nd 144.24 Nd.upf
Dy 162.50 Dy.upf
Th 232.04 Th.upf
ATOMIC_POSITIONS crystal
Nd 0.1235 0.2500 0.2499
Nd 0.1382 0.2500 0.9164
Nd 0.3670 0.7500 0.4163
Nd 0.6330 0.2500 0.5837
Nd 0.8618 0.7500 0.0836
Nd 0.8765 0.7500 0.7501
Dy 0.3750 0.7500 0.7496
Dy 0.6250 0.2500 0.2504
Th 0.1207 0.2500 0.5820
Th 0.3845 0.7500 0.0815
Th 0.6155 0.2500 0.9185
Th 0.8793 0.7500 0.4180
CELL_PARAMETERS angstrom
10.2229 0.0000 0.0000
0.0000 3.6314 0.0000
-0.0657 0.0000 10.8467
```

Properties
Total magnetization: 0.0 μB per formula unit

Which structure loses on stability? w does.

w.
Nd2Dy4Th: optimized geometry, GGA-PBE. Values from VASP.

The structure in Quantum ESPRESSO input format:
```
&SYSTEM
  ibrav = 0, nat = 7, ntyp = 3
/
ATOMIC_SPECIES
Nd 144.24 Nd.upf
Dy 162.50 Dy.upf
Th 232.04 Th.upf
ATOMIC_POSITIONS crystal
Nd 0.0000 0.0000 0.0000
Nd 0.0892 0.0892 0.2871
Dy 0.2805 0.2805 0.8546
Dy 0.3760 0.3760 0.1443
Dy 0.8085 0.8085 0.4318
Dy 0.9006 0.9006 0.7156
Th 0.1824 0.1824 0.5735
CELL_PARAMETERS angstrom
3.1324 -1.8050 0.0000
3.1324 1.8050 0.0000
-2.1405 0.0000 20.3224
```

Properties
Total magnetization: 0.0 μB per formula unit

x.
Nd2Dy4Th: optimized geometry, GGA-PBE. Values from VASP.

The structure in Quantum ESPRESSO input format:
```
&SYSTEM
  ibrav = 0, nat = 7, ntyp = 3
/
ATOMIC_SPECIES
Nd 144.24 Nd.upf
Dy 162.50 Dy.upf
Th 232.04 Th.upf
ATOMIC_POSITIONS crystal
Nd 0.1160 0.1160 0.0000
Nd 0.8840 0.8840 0.0000
Dy 0.0000 0.5000 0.5000
Dy 0.3199 0.3199 0.0000
Dy 0.5000 0.0000 0.5000
Dy 0.6801 0.6801 0.0000
Th 0.5000 0.5000 0.0000
CELL_PARAMETERS angstrom
-2.8573 2.8573 8.4838
2.8573 -2.8573 8.4838
2.8573 2.8573 -8.4838
```

Properties
Total magnetization: 0.0 μB per formula unit

Which structure loses on stability? x does.

w.
NdDyTmTh: optimized geometry, GGA-PBE. Values from VASP.

The structure in Quantum ESPRESSO input format:
```
&SYSTEM
  ibrav = 0, nat = 4, ntyp = 4
/
ATOMIC_SPECIES
Nd 144.24 Nd.upf
Dy 162.50 Dy.upf
Tm 168.93 Tm.upf
Th 232.04 Th.upf
ATOMIC_POSITIONS crystal
Nd 0.0000 0.0000 0.0000
Dy 0.2500 0.2500 0.2500
Tm 0.7500 0.7500 0.7500
Th 0.5000 0.5000 0.5000
CELL_PARAMETERS angstrom
0.0000 4.0192 4.0192
4.0192 0.0000 4.0192
4.0192 4.0192 0.0000
```

Properties
Total magnetization: 0.0 μB per formula unit

x.
NdDyTmTh: optimized geometry, GGA-PBE. Values from VASP.

The structure in Quantum ESPRESSO input format:
```
&SYSTEM
  ibrav = 0, nat = 4, ntyp = 4
/
ATOMIC_SPECIES
Nd 144.24 Nd.upf
Dy 162.50 Dy.upf
Tm 168.93 Tm.upf
Th 232.04 Th.upf
ATOMIC_POSITIONS crystal
Nd 0.0000 0.0000 0.0000
Dy 0.2471 0.2471 0.2471
Tm 0.4190 0.4190 0.4190
Th 0.8328 0.8328 0.8328
CELL_PARAMETERS angstrom
1.7957 1.0367 11.5291
-1.7957 1.0367 11.5291
0.0000 -2.0735 11.5291
```

Properties
Total magnetization: 0.0 μB per formula unit

Which structure loses on stability? w does.

w.
NdDy6Tl2: optimized geometry, GGA-PBE. Values from VASP.

The structure in Quantum ESPRESSO input format:
```
&SYSTEM
  ibrav = 0, nat = 9, ntyp = 3
/
ATOMIC_SPECIES
Nd 144.24 Nd.upf
Dy 162.50 Dy.upf
Tl 204.38 Tl.upf
ATOMIC_POSITIONS crystal
Nd 0.0000 0.0000 0.0000
Dy 0.2390 0.6269 0.0000
Dy 0.2500 0.7500 0.5000
Dy 0.3731 0.3731 0.6121
Dy 0.6269 0.2390 0.0000
Dy 0.7500 0.2500 0.5000
Dy 0.7610 0.7610 0.3879
Tl 0.3090 0.3090 0.0000
Tl 0.6910 0.6910 0.0000
CELL_PARAMETERS angstrom
-2.8197 2.8197 10.5116
2.8197 -2.8197 10.5116
2.8197 2.8197 -10.5116
```

Properties
Total magnetization: 0.0 μB per formula unit

x.
NdDy6Tl2: optimized geometry, GGA-PBE. Values from VASP.

The structure in Quantum ESPRESSO input format:
```
&SYSTEM
  ibrav = 0, nat = 9, ntyp = 3
/
ATOMIC_SPECIES
Nd 144.24 Nd.upf
Dy 162.50 Dy.upf
Tl 204.38 Tl.upf
ATOMIC_POSITIONS crystal
Nd 0.0000 0.0000 0.0000
Dy 0.0110 0.0110 0.3473
Dy 0.3095 0.3095 0.4176
Dy 0.3120 0.3120 0.1263
Dy 0.6880 0.6880 0.8737
Dy 0.6905 0.6905 0.5824
Dy 0.9890 0.9890 0.6527
Tl 0.3588 0.3588 0.7841
Tl 0.6412 0.6412 0.2159
CELL_PARAMETERS angstrom
6.4116 -1.8793 0.0000
6.4116 1.8793 0.0000
-3.6904 0.0000 11.4506
```

Properties
Total magnetization: 0.0 μB per formula unit

Which structure loses on stability? w does.